Material: AlFe2Os
Method: DFT, meta-GGA SCAN
State: single point on PBEsol structure

Output
Energy of formation, meV per atom: -214
Density, g/cm³: 11.31

Geometry as CIF:
```
data_AlFe2Os
_chemical_formula_sum 'Al1 Fe2 Os1'
_symmetry_space_group_name_H-M 'P 4 m m'
_symmetry_Int_Tables_number 99
_cell_length_a 2.8835
_cell_length_b 2.8835
_cell_length_c 5.8082
_cell_angle_alpha 90.00
_cell_angle_beta 90.00
_cell_angle_gamma 90.00
loop_
_symmetry_equiv_pos_as_xyz
'x,y,z'
'-y,x,z'
'-x,-y,z'
'y,-x,z'
'-x,y,z'
'y,x,z'
'x,-y,z'
'-y,-x,z'
loop_
_atom_site_label
_atom_site_fract_x
_atom_site_fract_y
_atom_site_fract_z
Al1 0.0000 0.0000 0.0000
Fe1 0.0000 0.0000 0.4634
Fe2 0.5000 0.5000 0.2453
Os1 0.5000 0.5000 0.7188
```

---

Material: Al2FeOs
Method: DFT, meta-GGA SCAN
State: single point on PBEsol structure

Output
Energy of formation, meV per atom: -230
Density, g/cm³: 9.30

Geometry as CIF:
```
data_Al2FeOs
_chemical_formula_sum 'Al6 Fe3 Os3'
_symmetry_space_group_name_H-M 'R -3 m'
_symmetry_Int_Tables_number 166
_symmetry_space_group_name_Hall '-R 3 2"'
_cell_length_a 2.7536
_cell_length_b 2.7536
_cell_length_c 24.4735
_cell_angle_alpha 90.00
_cell_angle_beta 90.00
_cell_angle_gamma 120.00
loop_
_atom_site_label
_atom_site_fract_x
_atom_site_fract_y
_atom_site_fract_z
Al1 0.0000 0.0000 0.2478
Fe1 0.0000 0.0000 0.5000
Os1 0.0000 0.0000 0.0000
```

---

Material: AlFe2Os
Method: DFT, meta-GGA SCAN
State: single point on PBEsol structure

Output
Energy of formation, meV per atom: -250
Density, g/cm³: 11.20

Geometry as CIF:
```
data_AlFe2Os
_chemical_formula_sum 'Al1 Fe2 Os1'
_symmetry_space_group_name_H-M 'P m m m'
_symmetry_Int_Tables_number 47
_cell_length_a 2.9501
_cell_length_b 4.0167
_cell_length_c 4.1141
_cell_angle_alpha 90.00
_cell_angle_beta 90.00
_cell_angle_gamma 90.00
loop_
_symmetry_equiv_pos_as_xyz
'x,y,z'
'-x,-y,-z'
'-x,-y,z'
'x,y,-z'
'x,-y,-z'
'-x,y,z'
'-x,y,-z'
'x,-y,z'
loop_
_atom_site_label
_atom_site_fract_x
_atom_site_fract_y
_atom_site_fract_z
Al1 0.0000 0.0000 0.0000
Fe1 0.0000 0.5000 0.5000
Fe2 0.5000 0.0000 0.5000
Os1 0.5000 0.5000 0.0000
```

---

Material: ScAlFe2Os
Method: DFT, meta-GGA SCAN
State: single point on PBEsol structure

Output
Energy of formation, meV per atom: 1832
Density, g/cm³: 7.89

Geometry as CIF:
```
data_ScAlFe2Os
_chemical_formula_sum 'Sc1 Al1 Fe2 Os1'
_symmetry_space_group_name_H-M 'P 4/m m m'
_symmetry_Int_Tables_number 123
_symmetry_space_group_name_Hall '-P 4 2'
_cell_length_a 4.0736
_cell_length_b 4.0736
_cell_length_c 4.7442
_cell_angle_alpha 90.00
_cell_angle_beta 90.00
_cell_angle_gamma 90.00
loop_
_atom_site_label
_atom_site_fract_x
_atom_site_fract_y
_atom_site_fract_z
Sc1 0.0000 0.0000 0.0000
Al1 0.0000 0.0000 0.5000
Fe1 0.0000 0.5000 0.0000
Os1 0.5000 0.5000 0.5000
```

---

Material: AlFeSnOs2
Method: DFT, meta-GGA SCAN
State: single point on PBEsol structure

Output
Energy of formation, meV per atom: 2101
Density, g/cm³: 9.34

Geometry as CIF:
```
data_AlFeSnOs2
_chemical_formula_sum 'Al1 Fe1 Sn1 Os2'
_symmetry_space_group_name_H-M 'P 4/m m m'
_symmetry_Int_Tables_number 123
_symmetry_space_group_name_Hall '-P 4 2'
_cell_length_a 4.7848
_cell_length_b 4.7848
_cell_length_c 4.5185
_cell_angle_alpha 90.00
_cell_angle_beta 90.00
_cell_angle_gamma 90.00
loop_
_atom_site_label
_atom_site_fract_x
_atom_site_fract_y
_atom_site_fract_z
Al1 0.0000 0.0000 0.0000
Fe1 0.5000 0.5000 0.0000
Sn1 0.5000 0.5000 0.5000
Os1 0.0000 0.5000 0.5000
```

---

Material: AlFe3P
Method: DFT, meta-GGA SCAN
State: single point on PBEsol structure

Output
Energy of formation, meV per atom: 1219
Density, g/cm³: 4.91

Geometry as CIF:
```
data_AlFe3P
_chemical_formula_sum 'Al1 Fe3 P1'
_symmetry_space_group_name_H-M 'P m -3 m'
_symmetry_Int_Tables_number 221
_symmetry_space_group_name_Hall '-P 4 2 3'
_cell_length_a 4.2407
_cell_length_b 4.2407
_cell_length_c 4.2407
_cell_angle_alpha 90.00
_cell_angle_beta 90.00
_cell_angle_gamma 90.00
loop_
_atom_site_label
_atom_site_fract_x
_atom_site_fract_y
_atom_site_fract_z
Al1 0.0000 0.0000 0.0000
Fe1 0.0000 0.0000 0.5000
P1 0.5000 0.5000 0.5000
```

---

Material: AlFe2P
Method: DFT, meta-GGA SCAN
State: single point on PBEsol structure

Output
Energy of formation, meV per atom: -327
Density, g/cm³: 6.65

Geometry as CIF:
```
data_AlFe2P
_chemical_formula_sum 'Al1 Fe2 P1'
_symmetry_space_group_name_H-M 'P 4/m m m'
_symmetry_Int_Tables_number 123
_symmetry_space_group_name_Hall '-P 4 2'
_cell_length_a 2.7422
_cell_length_b 2.7422
_cell_length_c 5.6316
_cell_angle_alpha 90.00
_cell_angle_beta 90.00
_cell_angle_gamma 90.00
loop_
_atom_site_label
_atom_site_fract_x
_atom_site_fract_y
_atom_site_fract_z
Al1 0.0000 0.0000 0.0000
Fe1 0.5000 0.5000 0.2754
P1 0.0000 0.0000 0.5000
```

---

Material: AlFeP2
Method: DFT, meta-GGA SCAN
State: single point on PBEsol structure

Output
Energy of formation, meV per atom: 254
Density, g/cm³: 4.78

Geometry as CIF:
```
data_AlFeP2
_chemical_formula_sum 'Al1 Fe1 P2'
_symmetry_space_group_name_H-M 'P 4/m m m'
_symmetry_Int_Tables_number 123
_symmetry_space_group_name_Hall '-P 4 2'
_cell_length_a 4.0112
_cell_length_b 4.0112
_cell_length_c 3.1268
_cell_angle_alpha 90.00
_cell_angle_beta 90.00
_cell_angle_gamma 90.00
loop_
_atom_site_label
_atom_site_fract_x
_atom_site_fract_y
_atom_site_fract_z
Al1 0.0000 0.0000 0.0000
Fe1 0.5000 0.5000 0.0000
P1 0.0000 0.5000 0.5000
```

---

Material: Al2FePb
Method: DFT, meta-GGA SCAN
State: single point on PBEsol structure

Output
Energy of formation, meV per atom: 252
Density, g/cm³: 7.44

Geometry as CIF:
```
data_Al2FePb
_chemical_formula_sum 'Al2 Fe1 Pb1'
_symmetry_space_group_name_H-M 'P 4 m m'
_symmetry_Int_Tables_number 99
_cell_length_a 3.2106
_cell_length_b 3.2106
_cell_length_c 6.8668
_cell_angle_alpha 90.00
_cell_angle_beta 90.00
_cell_angle_gamma 90.00
loop_
_symmetry_equiv_pos_as_xyz
'x,y,z'
'-y,x,z'
'-x,-y,z'
'y,-x,z'
'-x,y,z'
'y,x,z'
'x,-y,z'
'-y,-x,z'
loop_
_atom_site_label
_atom_site_fract_x
_atom_site_fract_y
_atom_site_fract_z
Al1 0.0000 0.0000 0.0000
Al2 0.5000 0.5000 0.2313
Fe1 0.0000 0.0000 0.3671
Pb1 0.5000 0.5000 0.6555
```

---

Material: Al2FePb
Method: DFT, meta-GGA SCAN
State: single point on PBEsol structure

Output
Energy of formation, meV per atom: 393
Density, g/cm³: 7.35

Geometry as CIF:
```
data_Al2FePb
_chemical_formula_sum 'Al4 Fe2 Pb2'
_symmetry_space_group_name_H-M 'C 1 2/m 1'
_symmetry_Int_Tables_number 12
_cell_length_a 5.4387
_cell_length_b 10.0920
_cell_length_c 3.0862
_cell_angle_alpha 90.00
_cell_angle_beta 122.24
_cell_angle_gamma 90.00
loop_
_symmetry_equiv_pos_as_xyz
'x,y,z'
'-x,-y,-z'
'-x,y,-z'
'x,-y,z'
'x+1/2,y+1/2,z'
'-x+1/2,-y+1/2,-z'
'-x+1/2,y+1/2,-z'
'x+1/2,-y+1/2,z'
loop_
_atom_site_label
_atom_site_fract_x
_atom_site_fract_y
_atom_site_fract_z
Al1 0.2500 0.2500 0.0000
Fe1 0.0000 0.0000 0.0000
Pb1 0.0000 0.5000 0.0000
```

---

Material: Al2FePb
Method: DFT, meta-GGA SCAN
State: single point on PBEsol structure

Output
Energy of formation, meV per atom: 61
Density, g/cm³: 7.54

Geometry as CIF:
```
data_Al2FePb
_chemical_formula_sum 'Al2 Fe1 Pb1'
_symmetry_space_group_name_H-M 'P 4/m m m'
_symmetry_Int_Tables_number 123
_symmetry_space_group_name_Hall '-P 4 2'
_cell_length_a 2.9408
_cell_length_b 2.9408
_cell_length_c 8.0731
_cell_angle_alpha 90.00
_cell_angle_beta 90.00
_cell_angle_gamma 90.00
loop_
_atom_site_label
_atom_site_fract_x
_atom_site_fract_y
_atom_site_fract_z
Al1 0.0000 0.0000 0.1652
Fe1 0.5000 0.5000 0.0000
Pb1 0.5000 0.5000 0.5000
```

---

Material: AlFePb
Method: DFT, meta-GGA SCAN
State: single point on PBEsol structure

Output
Energy of formation, meV per atom: 205
Density, g/cm³: 8.71

Geometry as CIF:
```
data_AlFePb
_chemical_formula_sum 'Al4 Fe4 Pb4'
_symmetry_space_group_name_H-M 'F -4 3 m'
_symmetry_Int_Tables_number 216
_symmetry_space_group_name_Hall 'F -4 2 3'
_cell_length_a 6.0469
_cell_length_b 6.0469
_cell_length_c 6.0469
_cell_angle_alpha 90.00
_cell_angle_beta 90.00
_cell_angle_gamma 90.00
loop_
_atom_site_label
_atom_site_fract_x
_atom_site_fract_y
_atom_site_fract_z
Al1 0.0000 0.0000 0.0000
Fe1 0.2500 0.2500 0.7500
Pb1 0.0000 0.0000 0.5000
```

---

Material: AlFe3Pd
Method: DFT, meta-GGA SCAN
State: single point on PBEsol structure

Output
Energy of formation, meV per atom: 1069
Density, g/cm³: 5.38

Geometry as CIF:
```
data_AlFe3Pd
_chemical_formula_sum 'Al1 Fe3 Pd1'
_symmetry_space_group_name_H-M 'P m -3 m'
_symmetry_Int_Tables_number 221
_symmetry_space_group_name_Hall '-P 4 2 3'
_cell_length_a 4.5277
_cell_length_b 4.5277
_cell_length_c 4.5277
_cell_angle_alpha 90.00
_cell_angle_beta 90.00
_cell_angle_gamma 90.00
loop_
_atom_site_label
_atom_site_fract_x
_atom_site_fract_y
_atom_site_fract_z
Al1 0.0000 0.0000 0.0000
Fe1 0.0000 0.5000 0.5000
Pd1 0.5000 0.5000 0.5000
```

---

Material: Pr2AlFe16
Method: DFT, meta-GGA SCAN
State: single point on PBEsol structure

Output
Energy of formation, meV per atom: 52
Density, g/cm³: 8.17

Geometry as CIF:
```
data_Pr2AlFe16
_chemical_formula_sum 'Pr6 Al3 Fe48'
_symmetry_space_group_name_H-M 'R 3 m'
_symmetry_Int_Tables_number 160
_symmetry_space_group_name_Hall 'R 3 -2"'
_cell_length_a 8.3084
_cell_length_b 8.3084
_cell_length_c 12.2646
_cell_angle_alpha 90.00
_cell_angle_beta 90.00
_cell_angle_gamma 120.00
loop_
_atom_site_label
_atom_site_fract_x
_atom_site_fract_y
_atom_site_fract_z
Pr1 0.0000 0.0000 0.0000
Pr2 0.0000 0.0000 0.3102
Al1 0.0000 0.0000 0.5601
Fe1 0.0000 0.0000 0.7551
Fe2 0.9997 0.2867 0.6560
Fe3 0.0035 0.5017 0.4959
Fe4 0.1670 0.3340 0.4892
Fe5 0.1680 0.3361 0.1495
```

---

Material: PrAl6Fe6
Method: DFT, meta-GGA SCAN
State: single point on PBEsol structure

Output
Energy of formation, meV per atom: -369
Density, g/cm³: 5.87

Geometry as CIF:
```
data_PrAl6Fe6
_chemical_formula_sum 'Pr2 Al12 Fe12'
_symmetry_space_group_name_H-M 'I m m m'
_symmetry_Int_Tables_number 71
_symmetry_space_group_name_Hall '-I 2 2'
_cell_length_a 4.9397
_cell_length_b 8.4893
_cell_length_c 8.6027
_cell_angle_alpha 90.00
_cell_angle_beta 90.00
_cell_angle_gamma 90.00
loop_
_atom_site_label
_atom_site_fract_x
_atom_site_fract_y
_atom_site_fract_z
Pr1 0.0000 0.0000 0.0000
Al1 0.0000 0.0000 0.3484
Al2 0.0000 0.3400 0.0000
Al3 0.0000 0.5000 0.3019
Fe1 0.0000 0.2583 0.5000
Fe2 0.2500 0.2500 0.2500
```

---

Material: PrAl10Fe2
Method: DFT, meta-GGA SCAN
State: single point on PBEsol structure

Output
Energy of formation, meV per atom: -326
Density, g/cm³: 4.29

Geometry as CIF:
```
data_PrAl10Fe2
_chemical_formula_sum 'Pr4 Al40 Fe8'
_symmetry_space_group_name_H-M 'C m c m'
_symmetry_Int_Tables_number 63
_symmetry_space_group_name_Hall '-C 2c 2'
_cell_length_a 8.9171
_cell_length_b 10.1221
_cell_length_c 8.9641
_cell_angle_alpha 90.00
_cell_angle_beta 90.00
_cell_angle_gamma 90.00
loop_
_atom_site_label
_atom_site_fract_x
_atom_site_fract_y
_atom_site_fract_z
Pr1 0.0000 0.1223 0.2500
Al1 0.0000 0.1626 0.5978
Al2 0.0000 0.3760 0.0517
Al3 0.1499 0.3714 0.7500
Al4 0.2287 0.0000 0.0000
Al5 0.2286 0.3596 0.2500
Fe1 0.2500 0.2500 0.0000
```

---

Material: AlFe2Pt
Method: DFT, meta-GGA SCAN
State: single point on PBEsol structure

Output
Energy of formation, meV per atom: -205
Density, g/cm³: 10.77

Geometry as CIF:
```
data_AlFe2Pt
_chemical_formula_sum 'Al3 Fe6 Pt3'
_symmetry_space_group_name_H-M 'R -3 m'
_symmetry_Int_Tables_number 166
_symmetry_space_group_name_Hall '-R 3 2"'
_cell_length_a 2.6650
_cell_length_b 2.6650
_cell_length_c 25.0877
_cell_angle_alpha 90.00
_cell_angle_beta 90.00
_cell_angle_gamma 120.00
loop_
_atom_site_label
_atom_site_fract_x
_atom_site_fract_y
_atom_site_fract_z
Al1 0.0000 0.0000 0.0000
Fe1 0.0000 0.0000 0.2524
Pt1 0.0000 0.0000 0.5000
```

---

Material: Al2FePt
Method: DFT, meta-GGA SCAN
State: single point on PBEsol structure

Output
Energy of formation, meV per atom: -526
Density, g/cm³: 9.27

Geometry as CIF:
```
data_Al2FePt
_chemical_formula_sum 'Al6 Fe3 Pt3'
_symmetry_space_group_name_H-M 'R -3 m'
_symmetry_Int_Tables_number 166
_symmetry_space_group_name_Hall '-R 3 2"'
_cell_length_a 2.7872
_cell_length_b 2.7872
_cell_length_c 24.3604
_cell_angle_alpha 90.00
_cell_angle_beta 90.00
_cell_angle_gamma 120.00
loop_
_atom_site_label
_atom_site_fract_x
_atom_site_fract_y
_atom_site_fract_z
Al1 0.0000 0.0000 0.2468
Fe1 0.0000 0.0000 0.5000
Pt1 0.0000 0.0000 0.0000
```

---

Material: Al2FePt
Method: DFT, meta-GGA SCAN
State: single point on PBEsol structure

Output
Energy of formation, meV per atom: -755
Density, g/cm³: 9.45

Geometry as CIF:
```
data_Al2FePt
_chemical_formula_sum 'Al4 Fe2 Pt2'
_symmetry_space_group_name_H-M 'I -4 m 2'
_symmetry_Int_Tables_number 119
_symmetry_space_group_name_Hall 'I -4 -2'
_cell_length_a 3.6234
_cell_length_b 3.6234
_cell_length_c 8.1585
_cell_angle_alpha 90.00
_cell_angle_beta 90.00
_cell_angle_gamma 90.00
loop_
_atom_site_label
_atom_site_fract_x
_atom_site_fract_y
_atom_site_fract_z
Al1 0.0000 0.0000 0.0000
Al2 0.0000 0.5000 0.2500
Fe1 0.0000 0.0000 0.5000
Pt1 0.0000 0.5000 0.7500
```

---

Material: AlFePt3
Method: DFT, meta-GGA SCAN
State: single point on PBEsol structure

Output
Energy of formation, meV per atom: 742
Density, g/cm³: 12.14

Geometry as CIF:
```
data_AlFePt3
_chemical_formula_sum 'Al1 Fe1 Pt3'
_symmetry_space_group_name_H-M 'P m -3 m'
_symmetry_Int_Tables_number 221
_symmetry_space_group_name_Hall '-P 4 2 3'
_cell_length_a 4.5046
_cell_length_b 4.5046
_cell_length_c 4.5046
_cell_angle_alpha 90.00
_cell_angle_beta 90.00
_cell_angle_gamma 90.00
loop_
_atom_site_label
_atom_site_fract_x
_atom_site_fract_y
_atom_site_fract_z
Al1 0.0000 0.0000 0.0000
Fe1 0.5000 0.5000 0.5000
Pt1 0.0000 0.5000 0.5000
```